Density functional theory data (GGA+U) for an optimized crystal structure of HfMnCr2O6.

Results
Energy ... -8.556 eV per atom

Cell and atoms, written as CIF:
```
data_HfMnCr2O6
_cell_length_a 5.5737
_cell_length_b 5.5737
_cell_length_c 5.5737
_cell_angle_alpha 56.42
_cell_angle_beta 56.42
_cell_angle_gamma 56.42
_space_group_name_H-M_alt 'P 1'
_space_group_IT_number 1
_space_group_name_Hall 'P 1'
loop_
_atom_site_label
_atom_site_type_symbol
_atom_site_fract_x
_atom_site_fract_y
_atom_site_fract_z
_atom_site_occupancy
Hf1 Hf 0.0000 0.0000 0.0000 1
Mn1 Mn 0.5077 0.5077 0.5077 1
Cr1 Cr 0.2940 0.2940 0.2940 1
Cr2 Cr 0.7931 0.7931 0.7931 1
O1 O 0.0697 0.4063 0.6842 1
O2 O 0.1649 0.9236 0.5849 1
O3 O 0.4063 0.6843 0.0697 1
O4 O 0.5849 0.1649 0.9236 1
O5 O 0.6842 0.0697 0.4063 1
O6 O 0.9236 0.5849 0.1649 1
```